{"formula": "Zr3Ag", "functional": "PBEsol", "state": "relaxed", "lattice": [[3.2029, 0.0000, 0.0000], [0.0000, 5.0378, 0.0000], [0.0000, 0.0000, 5.0378]], "species": ["Ag", "Zr", "Zr", "Zr"], "frac_coords": [[0.0000, 0.0000, 0.0000], [0.5000, 0.5000, 0.0000], [0.5000, 0.0000, 0.5000], [0.0000, 0.5000, 0.5000]], "total_magnetization_mub_per_cell": 0.00, "formation_energy_ev_per_atom": 0.022}



{"formula": "CaNi2Pb2", "functional": "PBEsol", "state": "relaxed", "lattice": [[4.6442, 0.0000, 0.0000], [0.0000, 4.6442, 0.0000], [-2.3221, -2.3221, 4.8353]], "species": ["Pb", "Ca", "Ni", "Pb", "Ni"], "frac_coords": [[0.7500, 0.2500, 0.5000], [0.0000, 0.0000, 0.0000], [0.3813, 0.3813, 0.7626], [0.2500, 0.7500, 0.5000], [0.6187, 0.6187, 0.2374]], "total_magnetization_mub_per_cell": 0.00, "formation_energy_ev_per_atom": -0.047}



{"formula": "CoHgIr", "functional": "PBEsol", "state": "relaxed", "lattice": [[-1.9902, 1.7997, 0.7999], [-1.6728, -0.9443, -2.0371], [-0.2579, -4.2981, 4.1285]], "species": ["Ir", "Co", "Hg"], "frac_coords": [[0.3528, 0.3528, 0.7055], [0.9866, 0.9866, 0.9732], [0.6606, 0.6606, 0.3212]], "total_magnetization_mub_per_cell": 1.77, "formation_energy_ev_per_atom": 0.297}



Repeat the third record exactly.
{"formula": "CoHgIr", "functional": "PBEsol", "state": "relaxed", "lattice": [[-1.9902, 1.7997, 0.7999], [-1.6728, -0.9443, -2.0371], [-0.2579, -4.2981, 4.1285]], "species": ["Ir", "Co", "Hg"], "frac_coords": [[0.3528, 0.3528, 0.7055], [0.9866, 0.9866, 0.9732], [0.6606, 0.6606, 0.3212]], "total_magnetization_mub_per_cell": 1.77, "formation_energy_ev_per_atom": 0.297}